No. 1
First-principles (PBE) data for ZrNbTe4 after structural relaxation, as listed in Alexandria via LeMat-Bulk. Values from VASP.

Space-group type ... C2/m, No. 12
Uncorrected formation energy ... -3.812 eV per formula unit

Cell and atoms, written as Quantum ESPRESSO input:
```
&SYSTEM
  ibrav = 0, nat = 6, ntyp = 3
/
ATOMIC_SPECIES
Zr 91.22 Zr.upf
Nb 92.91 Nb.upf
Te 127.60 Te.upf
CELL_PARAMETERS angstrom
7.725 -1.907 0.000
7.725 1.907 0.000
-2.820 0.000 5.972
ATOMIC_POSITIONS angstrom
Zr 0.000 0.000 0.000
Nb 6.315 0.000 2.986
Te 0.688 0.000 2.806
Te 5.563 0.000 0.241
Te 7.067 0.000 5.731
Te 11.942 0.000 3.165
```


No. 2
First-principles (PBE) data for AlFeMoRu after structural relaxation, as listed in Alexandria via LeMat-Bulk. Values from VASP.

Space-group type ... F-43m, No. 216
Formation energy from the elements ... -0.222 eV/atom

Cell and atoms, written as Quantum ESPRESSO input:
```
&SYSTEM
  ibrav = 0, nat = 4, ntyp = 4
/
ATOMIC_SPECIES
Al 26.98 Al.upf
Fe 55.84 Fe.upf
Mo 95.94 Mo.upf
Ru 101.07 Ru.upf
CELL_PARAMETERS angstrom
0.000 3.006 3.006
3.006 0.000 3.006
3.006 3.006 0.000
ATOMIC_POSITIONS angstrom
Al 0.000 0.000 0.000
Fe 1.503 1.503 1.503
Mo 3.006 3.006 3.006
Ru 4.509 4.509 4.509
```


No. 3
First-principles (PBE) data for TaRhN2 after structural relaxation, as listed in Alexandria via LeMat-Bulk. Values from VASP.

Space-group type ... I-42d, No. 122
Uncorrected formation energy ... -1.232 eV per formula unit

Cell and atoms, written as Quantum ESPRESSO input:
```
&SYSTEM
  ibrav = 0, nat = 8, ntyp = 3
/
ATOMIC_SPECIES
Ta 180.95 Ta.upf
Rh 102.91 Rh.upf
N 14.01 N.upf
CELL_PARAMETERS angstrom
-2.339 2.339 4.826
2.339 -2.339 4.826
2.339 2.339 -4.826
ATOMIC_POSITIONS angstrom
Ta 0.000 0.000 0.000
Ta 0.000 2.339 2.413
Rh 2.339 0.000 2.413
Rh 0.000 0.000 4.826
N 3.508 1.052 -1.207
N 1.052 1.169 1.207
N -1.169 1.287 3.620
N 1.287 1.169 6.033
```


No. 4
First-principles (PBE) data for MnAsRuSe2 after structural relaxation, as listed in Alexandria via LeMat-Bulk. Values from VASP.

Space-group type ... P4/mmm, No. 123
Uncorrected formation energy ... 5.612 eV per formula unit

Cell and atoms, written as Quantum ESPRESSO input:
```
&SYSTEM
  ibrav = 0, nat = 5, ntyp = 4
/
ATOMIC_SPECIES
Mn 54.94 Mn.upf
As 74.92 As.upf
Ru 101.07 Ru.upf
Se 78.96 Se.upf
CELL_PARAMETERS angstrom
4.946 0.000 0.000
0.000 4.946 0.000
0.000 0.000 4.581
ATOMIC_POSITIONS angstrom
Mn 0.000 0.000 0.000
As 2.473 2.473 0.000
Ru 2.473 2.473 2.290
Se 0.000 2.473 2.290
Se 2.473 0.000 2.290
```


What did the first record say?
First-principles (PBE) data for ZrNbTe4 after structural relaxation, as listed in Alexandria via LeMat-Bulk. Values from VASP.

Space-group type ... C2/m, No. 12
Uncorrected formation energy ... -3.812 eV per formula unit

Cell and atoms, written as Quantum ESPRESSO input:
```
&SYSTEM
  ibrav = 0, nat = 6, ntyp = 3
/
ATOMIC_SPECIES
Zr 91.22 Zr.upf
Nb 92.91 Nb.upf
Te 127.60 Te.upf
CELL_PARAMETERS angstrom
7.725 -1.907 0.000
7.725 1.907 0.000
-2.820 0.000 5.972
ATOMIC_POSITIONS angstrom
Zr 0.000 0.000 0.000
Nb 6.315 0.000 2.986
Te 0.688 0.000 2.806
Te 5.563 0.000 0.241
Te 7.067 0.000 5.731
Te 11.942 0.000 3.165
```